YIn2Ni2 after structural relaxation, computed with PBE.

- E above lowest polymorph: 0 kJ/mol of formula units
- SG: I4/mmm
- Total magnetization: 0.000 μB/cell
- E_tot: -4.986 eV/atom

a b c (Å): 4.2655 4.2655 10.7714
angles (deg): 90.00 90.00 90.00
Closest atoms and distances in Å follow each position.
Fractional coordinates of all 10 atoms:
Y 0.0000 0.0000 0.0000  8 Ni 3.22, 8 In 3.44
Y 0.5000 0.5000 0.5000  8 Ni 3.22, 8 In 3.44
In 0.0000 0.5000 0.2500  4 Ni 2.64
In 0.0000 0.5000 0.7500  4 Ni 2.64
In 0.5000 0.0000 0.2500  4 Ni 2.64
In 0.5000 0.0000 0.7500  4 Ni 2.64
Ni 0.0000 0.0000 0.3948  1 Ni 2.27
Ni 0.0000 0.0000 0.6052  1 Ni 2.27
Ni 0.5000 0.5000 0.1052  1 Ni 2.27
Ni 0.5000 0.5000 0.8948  1 Ni 2.27